An optimized crystal structure of CdAs2PdSe. Source: Alexandria, functional PBEsol.

Unit cell a=4.7600 b=4.7600 c=5.0891 alpha=90.00 beta=90.00 gamma=90.00
Space group P4/mmm (No. 123)
Symmetry-distinct sites (fractional):
Cd 0.0000 0.0000 0.0000 x1
As 0.0000 0.5000 0.5000 x2
Pd 0.5000 0.5000 0.5000 x1
Se 0.5000 0.5000 0.0000 x1

ΔE_f (raw): 444 meV per atom
Density of states at the Fermi level: 4.91 states/eV/cell